1.
Compound: LiY4Se
Source: Alexandria
Functional: PBE
Structure: relaxed

Structure (POSCAR):
```
LiY4Se
1.0
0.0000 4.5609 4.5609
4.5609 0.0000 4.5609
4.5609 4.5609 0.0000
Y Li Se
4 1 1
Cartesian
3.4230 5.6989 5.6989 Y
5.6989 5.6989 3.4230 Y
5.6989 3.4230 5.6989 Y
3.4230 3.4230 3.4230 Y
6.8414 6.8414 6.8414 Li
0.0000 0.0000 0.0000 Se
```

Results
ΔE_f (raw) = 0.3302 eV/atom
uncorrected energy = -0.359 Ry per atom
space-group type = F-43m (216)
crystal system = cubic


2.
Compound: La2Tb5Dy
Source: Alexandria
Functional: PBE
Structure: relaxed

Structure (POSCAR):
```
La2Tb5Dy
1.0
5.0224 0.0000 -0.9739
-0.1889 5.0188 -0.9739
-0.5230 -0.5430 10.7396
La Tb Dy
2 5 1
Cartesian
3.3639 3.4929 3.9104 La
0.9466 0.9829 4.8813 La
2.9723 0.4788 1.8908 Tb
1.3382 3.9970 6.9009 Tb
3.9439 1.4876 6.9009 Tb
0.3667 2.9882 1.8908 Tb
2.4168 2.5094 -0.9739 Tb
0.0000 0.0000 0.0000 Dy
```

Results
uncorrected energy = -0.344 Ry per atom
space-group type = I4/mmm (139)
crystal system = tetragonal


3.
Compound: Tb5Sm4Tm2
Source: Alexandria
Functional: PBE
Structure: relaxed

Structure (POSCAR):
```
Tb5Sm4Tm2
1.0
5.4857 0.0000 -1.3382
-0.3245 6.4525 -1.3300
-0.5140 1.7858 9.8057
Tb Sm Tm
5 4 2
Cartesian
4.3580 2.0055 5.9520 Tb
3.8508 4.9004 3.8729 Tb
0.7964 3.3380 3.2646 Tb
0.2892 6.2329 1.1855 Tb
2.7428 0.0000 -0.6691 Tb
1.0603 7.0869 4.3465 Sm
4.6518 6.3084 7.1565 Sm
3.5869 1.1514 2.7910 Sm
-0.0046 1.9300 -0.0190 Sm
1.6508 4.3296 6.7673 Tm
2.9964 3.9088 0.3702 Tm
```

Results
uncorrected energy = -0.332 Ry per atom
space-group type = C2/m (12)
crystal system = monoclinic


4.
Compound: LaSi2Ir2Pt
Source: Alexandria
Functional: PBE
Structure: relaxed

Structure (POSCAR):
```
LaSi2Ir2Pt
1.0
4.5535 0.0000 0.0000
0.0000 4.5535 0.0000
0.0000 0.0000 5.5818
La Pt Ir Si
1 1 2 2
Cartesian
0.0000 0.0000 2.7909 La
0.0000 0.0000 0.0000 Pt
2.2768 2.2768 1.4451 Ir
2.2768 2.2768 4.1367 Ir
2.2768 0.0000 0.0000 Si
0.0000 2.2768 0.0000 Si
```

Results
ΔE_f (raw) = -0.3351 eV/atom
uncorrected energy = -0.509 Ry per atom
space-group type = P4/mmm (123)
crystal system = tetragonal


5.
Compound: GeBiTeN2
Source: Alexandria
Functional: PBE
Structure: relaxed

Structure (POSCAR):
```
GeBiTeN2
1.0
-2.0863 -3.8055 0.5455
2.4801 -0.8581 3.4992
-4.2876 2.8877 3.7471
Bi N Ge Te
1 2 1 1
Cartesian
0.0000 0.0000 0.0000 Bi
1.2401 -0.4291 1.7496 N
-1.0431 -1.9027 0.2727 N
-1.9469 -0.8879 3.8959 Ge
-2.1438 1.4439 1.8736 Te
```

Results
ΔE_f (raw) = 1.5339 eV/atom
E above lowest polymorph = 1.25 eV per formula unit
uncorrected energy = -0.303 Ry per atom
space-group type = P4/mmm (123)
crystal system = tetragonal


6.
Compound: Cs8Br4Cl3
Source: Alexandria
Functional: PBE
Structure: relaxed

Structure (POSCAR):
```
Cs8Br4Cl3
1.0
-7.5350 7.0046 0.4401
0.5701 -6.4546 -8.0035
-0.0361 -8.0157 6.4646
Br Cl Cs
4 3 8
Cartesian
-3.7675 3.5023 0.2200 Br
-0.0180 -4.0078 3.2323 Br
0.0000 0.0000 0.0000 Br
0.2850 -3.2273 -4.0017 Br
-3.4824 0.2750 -3.7817 Cl
-3.5005 -3.7328 -0.5494 Cl
-3.7855 -0.5055 3.4523 Cl
0.0744 -3.6226 -0.3877 Cs
0.4186 -6.8448 -4.3870 Cs
-3.6499 -4.1176 3.0165 Cs
-3.6347 -0.1693 -0.1705 Cs
-3.3511 -3.3481 -4.1153 Cs
-7.0754 -3.8431 -0.7111 Cs
-3.3663 -7.2964 -0.9283 Cs
0.1154 -7.6255 2.8481 Cs
```

Results
ΔE_f (raw) = -1.7150 eV/atom
uncorrected energy = -0.219 Ry per atom
space-group type = C2/m (12)
crystal system = monoclinic


7.
Compound: HfCdSbTe2
Source: Alexandria
Functional: PBE
Structure: relaxed

Structure (POSCAR):
```
HfCdSbTe2
1.0
5.5344 0.0000 0.0000
0.0000 5.5344 0.0000
0.0000 0.0000 5.6429
Hf Sb Te Cd
1 1 2 1
Cartesian
0.0000 0.0000 0.0000 Hf
0.0000 0.0000 2.8214 Sb
2.7672 0.0000 0.0000 Te
0.0000 2.7672 0.0000 Te
2.7672 2.7672 2.8214 Cd
```

Results
ΔE_f (raw) = 0.0281 eV/atom
E above lowest polymorph = 0.00 eV per formula unit
uncorrected energy = -0.311 Ry per atom
space-group type = P4/mmm (123)
crystal system = tetragonal


8.
Compound: Zr3Ta
Source: Alexandria
Functional: PBE
Structure: relaxed

Structure (POSCAR):
```
Zr3Ta
1.0
-5.2228 1.9589 -0.0968
-0.9007 -2.6402 -4.8314
-1.7422 -4.5073 2.7879
Zr Ta
6 2
Cartesian
-3.9180 -2.4011 2.0426 Zr
-1.7561 -0.8304 -2.4399 Zr
-3.0469 -0.1474 0.6486 Zr
-1.0963 -2.9137 0.1861 Zr
-4.3674 0.1491 -2.4883 Zr
-1.5466 -4.2338 -2.2296 Zr
-3.9328 -2.5943 -1.0701 Ta
0.0000 0.0000 0.0000 Ta
```

Results
E above lowest polymorph = 0.32 eV per formula unit
uncorrected energy = -0.676 Ry per atom
space-group type = Pm-3n (223)
crystal system = cubic


| no. | spin magnetization (μB per formula unit) |
| --- | --- |
| 1 | 0.00 |
| 2 | 0.00 |
| 3 | 0.00 |
| 4 | 0.00 |
| 5 | 1.83 |
| 6 | 0.90 |
| 7 | 0.00 |
| 8 | 0.00 |